Here is a relaxed structure of LaIn4Pt from the Alexandria database. Energies are from GGA-PBE.

* uncorrected energy: -3.6961 eV per atom
* energy of formation from the pure elements: -0.25 eV/f.u.

Cell: 5.998 5.998 5.998 Å, 60.00 60.00 60.00°
Atoms (fractional coordinates):
La  0.000  0.000  0.000
In  0.375  0.375  0.375
In  0.375  0.375  0.875
In  0.375  0.875  0.375
In  0.875  0.375  0.375
Pt  0.750  0.750  0.750